# SrSbH3, optimized geometry, DFT PBE
data_SrSbH3
_cell_length_a 4.305
_cell_length_b 4.305
_cell_length_c 4.305
_cell_angle_alpha 90.00
_cell_angle_beta 90.00
_cell_angle_gamma 90.00
_symmetry_space_group_name_H-M 'P m -3 m'
_symmetry_Int_Tables_number 221
_symmetry_space_group_name_Hall '-P 4 2 3'
loop_
_atom_site_label
_atom_site_type_symbol
_atom_site_fract_x
_atom_site_fract_y
_atom_site_fract_z
Sr1 Sr 0.000 0.000 0.000
Sb1 Sb 0.500 0.500 0.500
H1 H 0.000 0.500 0.500
# ΔE to the lowest computed polymorph   0 meV/atom
# M_tot   0.00 μB/f.u.
# VASP energy   -14.961 eV/cell
# Calculated density   4.421 g/cm3